Entry from OQMD: crystalline InCuNiMo at its relaxed geometry (GGA-PBE).

For the calculated total energy, the calculation gives -87.7 eV/cell. The value obtained for the size of the total moment is 0.396 μB per atom.

The space group is F-43m (No. 216) and the conventional cell measures 6.179, 6.179 and 6.179 Å, with angles of 90.00, 90.00 and 90.00 degrees. The inequivalent atoms are In at (0.000, 0.000, 0.000), Cu at (0.250, 0.250, 0.250), Ni at (0.250, 0.250, 0.750) and Mo at (0.000, 0.000, 0.500).



Entry from OQMD: crystalline Pr2ErCd4In2 at its relaxed geometry (GGA-PBE).

For the calculated total energy, the calculation gives -53.8 eV/cell. The value obtained for the size of the total moment is 0.001 μB per atom.

The space group is Amm2 (No. 38) and the conventional cell measures 4.699, 13.037 and 7.677 Å, with angles of 90.00, 90.00 and 90.00 degrees. The inequivalent atoms are Pr at (0.000, 0.211, 0.000), Er at (0.000, 0.000, 0.363), Cd at (0.000, 0.000, 0.774), Cd at (0.500, 0.000, 0.024), Cd at (0.500, 0.122, 0.665) and In at (0.500, 0.162, 0.288).



Entry from OQMD: crystalline MgCdTeOs at its relaxed geometry (GGA-PBE).

For the calculated total energy, the calculation gives -60.3 eV/cell. The value obtained for the size of the total moment is 0.000 μB per atom.

The space group is F-43m (No. 216) and the conventional cell measures 6.730, 6.730 and 6.730 Å, with angles of 90.00, 90.00 and 90.00 degrees. The inequivalent atoms are Mg at (0.000, 0.000, 0.000), Cd at (0.250, 0.250, 0.750), Te at (0.250, 0.250, 0.250) and Os at (0.000, 0.000, 0.500).